Entry 1:
This record from the Alexandria database describes a relaxed structure of NbBiSe. The functional is PBE.

Magnetization in μB per formula unit: 0.000
Uncorrected energy in eV/atom: -6.252
Calculated volume in Å³ per cell: 288.81
ρ in g/cm3: 8.76

a b c (Å): 15.914 3.444 5.281
angles (deg): 90.00 93.84 90.00
Space group C2/m (No. 12)
Unique sites:
1 Nb 0.211 0.000 0.303
2 Bi 0.051 0.500 0.260
3 Se 0.171 0.000 0.778


Entry 2:
This record from the Alexandria database describes a relaxed structure of BeAlWS2. The functional is PBE.

Magnetization in μB per formula unit: 2.126
Uncorrected energy in eV/atom: -4.309
Calculated volume in Å³ per cell: 99.51
ρ in g/cm3: 4.74

a b c (Å): 4.418 4.418 5.100
angles (deg): 90.00 90.00 90.00
Space group P4/mmm (No. 123)
Unique sites:
1 Be 0.000 0.000 0.000
2 Al 0.500 0.500 0.500
3 W 0.500 0.500 0.000
4 S 0.000 0.500 0.500


Entry 3:
This record from the Alexandria database describes a relaxed structure of Sc4TeC2. The functional is PBE.

Magnetization in μB per formula unit: 0.286
Uncorrected energy in eV/atom: -7.404
Calculated volume in Å³ per cell: 485.29
ρ in g/cm3: 4.54

a b c (Å): 3.565 11.413 11.925
angles (deg): 90.00 90.00 90.00
Space group Cmcm (No. 63)
Unique sites:
1 Sc 0.000 0.000 0.000
2 Sc 0.000 0.256 0.100
3 Sc 0.000 0.410 0.750
4 Te 0.000 0.109 0.750
5 C 0.000 0.366 0.559